# 1
GaB2Mo2 | GGA-PBE | relaxed

Cell: 5.9600 5.9600 3.1710 Å, 90.00 90.00 150.01°
Positions (direct):
Ga (0.0000, 0.0000, 0.0000)
B (0.2095, 0.7905, 0.0000)
B (0.7905, 0.2095, 0.0000)
Mo (0.3575, 0.6425, 0.5000)
Mo (0.6425, 0.3575, 0.5000)

Computed properties:
Crystal system: orthorhombic
Raw total energy in eV/atom: -7.9139
SG: Cmmm (65)



# 2
Ho2TmIn3CuNi2 | GGA-PBE | relaxed

Cell: 3.8076 7.4084 7.4084 Å, 120.00 90.00 90.00°
Positions (direct):
Ho (0.0000, 0.2063, 0.7937)
Ho (0.0000, 0.7937, 0.2063)
Tm (0.0000, 0.3810, 0.3810)
In (0.5000, 0.0522, 0.0522)
In (0.5000, 0.5352, 0.7937)
In (0.5000, 0.7937, 0.5352)
Cu (0.0000, 0.7937, 0.7937)
Ni (0.5000, 0.1271, 0.4603)
Ni (0.5000, 0.4603, 0.1271)

Computed properties:
Crystal system: orthorhombic
Raw total energy in eV/atom: -4.5583
SG: Amm2 (38)



# 3
UInFe | GGA-PBE | relaxed

Cell: 4.6554 4.6554 4.6554 Å, 60.00 60.00 60.00°
Positions (direct):
U (0.0000, 0.0000, 0.0000)
In (0.2500, 0.2500, 0.2500)
Fe (0.7500, 0.7500, 0.7500)

Computed properties:
Crystal system: cubic
Raw total energy in eV/atom: -6.1260
SG: F-43m (216)



# 4
Na2Tl4CuAu | GGA-PBE | relaxed

Cell: 8.3518 5.9906 5.9906 Å, 42.84 90.00 90.00°
Positions (direct):
Na (0.0000, 0.0000, 0.0000)
Na (0.5000, 0.1334, 0.1334)
Tl (0.1949, 0.7040, 0.7040)
Tl (0.2848, 0.4252, 0.4252)
Tl (0.7152, 0.4252, 0.4252)
Tl (0.8051, 0.7040, 0.7040)
Cu (0.0000, 0.2834, 0.2834)
Au (0.5000, 0.8475, 0.8475)

Computed properties:
Crystal system: orthorhombic
Raw total energy in eV/atom: -2.4387
SG: Amm2 (38)



# 5
Pm2TeAs | GGA-PBE | relaxed

Cell: 4.3033 6.1474 8.8436 Å, 90.00 90.00 90.00°
Positions (direct):
Pm (0.2500, 0.2500, 0.1075)
Pm (0.2500, 0.2500, 0.6578)
Pm (0.7500, 0.7500, 0.3422)
Pm (0.7500, 0.7500, 0.8925)
Te (0.2500, 0.7500, 0.6185)
Te (0.7500, 0.2500, 0.3815)
As (0.2500, 0.7500, 0.1207)
As (0.7500, 0.2500, 0.8793)

Computed properties:
Crystal system: orthorhombic
Energy above the lowest structure with this stoichiometry in eV per atom: 0.000
Raw total energy in eV/atom: -5.8498
SG: Pmmn (59)



# 6
TbSi2Ni | GGA-PBE | relaxed

Cell: 3.9178 3.9178 6.3231 Å, 90.00 90.00 90.00°
Positions (direct):
Tb (0.0000, 0.0000, 0.0000)
Si (0.5000, 0.5000, 0.1699)
Si (0.5000, 0.5000, 0.8301)
Ni (0.5000, 0.5000, 0.5000)

Computed properties:
Crystal system: tetragonal
Raw total energy in eV/atom: -4.9897
SG: P4/mmm (123)